(1)
First-principles (PBE) data for crystalline SrCeCl5 at its relaxed geometry, as listed in Alexandria via LeMat-Bulk.

a = 7.093 Å, b = 10.855 Å, c = 13.998 Å
α = 90.00°, β = 90.00°, γ = 112.21°
Each line ends with the local moment (μB).
Element x y z (fractional)
Sr (0.274, 0.380, 0.764)  0.00
Sr (0.226, 0.120, 0.264)  0.00
Sr (0.726, 0.620, 0.236)  0.00
Sr (0.774, 0.880, 0.736)  0.00
Ce (0.684, 0.224, 0.017)  0.98
Ce (0.816, 0.276, 0.517)  0.98
Ce (0.316, 0.776, 0.983)  0.98
Ce (0.184, 0.724, 0.483)  0.98
Cl (0.952, 0.391, 0.892)  -0.01
Cl (0.548, 0.109, 0.392)  -0.01
Cl (0.048, 0.609, 0.108)  -0.01
Cl (0.452, 0.891, 0.608)  -0.01
Cl (0.142, 0.503, 0.601)  -0.01
Cl (0.358, 0.997, 0.101)  -0.01
Cl (0.858, 0.497, 0.399)  -0.01
Cl (0.642, 0.003, 0.899)  -0.01
Cl (0.132, 0.256, 0.418)  -0.01
Cl (0.368, 0.244, 0.918)  -0.01
Cl (0.868, 0.744, 0.582)  -0.01
Cl (0.632, 0.756, 0.082)  -0.01
Cl (0.937, 0.171, 0.140)  -0.01
Cl (0.563, 0.329, 0.640)  -0.01
Cl (0.063, 0.829, 0.860)  -0.01
Cl (0.437, 0.671, 0.360)  -0.01
Cl (0.958, 0.155, 0.667)  0.00
Cl (0.542, 0.345, 0.167)  0.00
Cl (0.042, 0.845, 0.333)  0.00
Cl (0.458, 0.655, 0.833)  0.00

Properties
Calculated density (Mg/m³): 2.70
N(E_F) (states/eV/f.u.): 3.879
Electronic total energy (eV/atom): -4.684
Formation energy without anion corrections (eV per atom): -2.277

***

(2)
First-principles (PBE) data for crystalline SrCeCl2 at its relaxed geometry, as listed in Alexandria via LeMat-Bulk.

a = 3.906 Å, b = 3.906 Å, c = 10.057 Å
α = 78.80°, β = 78.80°, γ = 60.00°
Each line ends with the local moment (μB).
Element x y z (fractional)
Sr (0.000, 0.000, 0.000)  0.02
Ce (0.500, 0.500, 0.500)  1.35
Cl (0.102, 0.102, 0.694)  0.00
Cl (0.898, 0.898, 0.306)  0.00

Properties
Calculated density (Mg/m³): 3.83
N(E_F) (states/eV/f.u.): 6.592
Electronic total energy (eV/atom): -4.234
Formation energy without anion corrections (eV per atom): -1.407

***

(3)
First-principles (PBE) data for crystalline SrCe2Cl11 at its relaxed geometry, as listed in Alexandria via LeMat-Bulk.

a = 10.505 Å, b = 10.868 Å, c = 10.868 Å
α = 73.56°, β = 61.10°, γ = 61.10°
Each line ends with the local moment (μB).
Element x y z (fractional)
Sr (0.750, 0.750, 0.750)  0.00
Sr (0.250, 0.250, 0.250)  0.00
Ce (0.659, 0.694, 0.306)  0.01
Ce (0.341, 0.306, 0.694)  0.01
Ce (0.841, 0.194, 0.806)  0.01
Ce (0.159, 0.806, 0.194)  0.01
Cl (0.643, 0.716, 0.546)  0.01
Cl (0.357, 0.284, 0.454)  0.01
Cl (0.095, 0.546, 0.716)  0.01
Cl (0.857, 0.954, 0.784)  0.01
Cl (0.905, 0.454, 0.284)  0.01
Cl (0.143, 0.046, 0.216)  0.01
Cl (0.405, 0.784, 0.954)  0.01
Cl (0.595, 0.216, 0.046)  0.01
Cl (0.500, 0.500, 0.500)  0.37
Cl (0.000, 0.000, 0.000)  0.37
Cl (0.892, 0.807, 0.193)  0.16
Cl (0.108, 0.193, 0.807)  0.16
Cl (0.608, 0.307, 0.693)  0.16
Cl (0.392, 0.693, 0.307)  0.16
Cl (0.472, 0.961, 0.312)  0.00
Cl (0.528, 0.039, 0.688)  0.00
Cl (0.254, 0.312, 0.961)  0.00
Cl (0.028, 0.188, 0.539)  0.00
Cl (0.746, 0.688, 0.039)  0.00
Cl (0.972, 0.812, 0.461)  0.00
Cl (0.246, 0.539, 0.188)  0.00
Cl (0.754, 0.461, 0.812)  0.00

Properties
Calculated density (Mg/m³): 2.65
Electronic total energy (eV/atom): -4.227
Formation energy without anion corrections (eV per atom): -1.808

***

(4)
First-principles (PBE) data for crystalline SrCe2Cl6 at its relaxed geometry, as listed in Alexandria via LeMat-Bulk.

a = 5.476 Å, b = 7.127 Å, c = 9.317 Å
α = 113.64°, β = 90.00°, γ = 112.59°
Each line ends with the local moment (μB).
Element x y z (fractional)
Sr (0.000, 0.000, 0.500)  0.01
Ce (0.808, 0.616, 0.917)  1.24
Ce (0.192, 0.384, 0.083)  1.24
Cl (0.301, 0.601, 0.879)  -0.01
Cl (0.699, 0.399, 0.121)  -0.01
Cl (0.019, 0.038, 0.206)  -0.01
Cl (0.639, 0.277, 0.600)  0.00
Cl (0.981, 0.962, 0.794)  -0.01
Cl (0.361, 0.723, 0.400)  0.00

Properties
Calculated density (Mg/m³): 3.19
N(E_F) (states/eV/f.u.): 13.242
Electronic total energy (eV/atom): -4.764
Formation energy without anion corrections (eV per atom): -2.027

***

(5)
First-principles (PBE) data for crystalline TbCeCl at its relaxed geometry, as listed in Alexandria via LeMat-Bulk.

a = 3.499 Å, b = 6.458 Å, c = 8.322 Å
α = 83.46°, β = 102.13°, γ = 122.81°
Each line ends with the local moment (μB).
Element x y z (fractional)
Cl (0.552, 0.750, 0.103)  0.00
Cl (0.448, 0.250, 0.897)  0.00
Ce (0.216, 0.750, 0.432)  0.27
Ce (0.784, 0.250, 0.568)  0.27
Tb (0.901, 0.750, 0.803)  0.04
Tb (0.099, 0.250, 0.197)  0.04

Properties
Calculated density (Mg/m³): 7.19
N(E_F) (states/eV/f.u.): 5.243
Electronic total energy (eV/atom): -5.011
Formation energy without anion corrections (eV per atom): -0.874

***

(6)
First-principles (PBE) data for crystalline TbCeCl at its relaxed geometry, as listed in Alexandria via LeMat-Bulk.

a = 3.590 Å, b = 3.590 Å, c = 7.398 Å
α = 90.00°, β = 90.00°, γ = 120.00°
Each line ends with the local moment (μB).
Element x y z (fractional)
Tb (0.667, 0.333, 0.368)  0.17
Ce (0.000, 0.000, 0.981)  1.02
Cl (0.333, 0.667, 0.651)  0.00

Properties
Calculated density (Mg/m³): 6.73
N(E_F) (states/eV/f.u.): 6.658
Electronic total energy (eV/atom): -4.946
Formation energy without anion corrections (eV per atom): -0.809

***

(7)
First-principles (PBE) data for crystalline TbCeCl2 at its relaxed geometry, as listed in Alexandria via LeMat-Bulk.

a = 3.500 Å, b = 3.500 Å, c = 9.999 Å
α = 79.92°, β = 79.92°, γ = 60.00°
Each line ends with the local moment (μB).
Element x y z (fractional)
Tb (0.500, 0.500, 0.500)  0.01
Ce (0.000, 0.000, 0.000)  1.23
Cl (0.099, 0.099, 0.702)  0.00
Cl (0.901, 0.901, 0.298)  0.00

Properties
Calculated density (Mg/m³): 5.91
N(E_F) (states/eV/f.u.): 5.180
Electronic total energy (eV/atom): -4.810
Formation energy without anion corrections (eV per atom): -1.246

***

(8)
First-principles (PBE) data for crystalline Ce2TcCl2 at its relaxed geometry, as listed in Alexandria via LeMat-Bulk.

a = 3.987 Å, b = 6.674 Å, c = 11.003 Å
α = 105.90°, β = 100.44°, γ = 90.00°
Each line ends with the local moment (μB).
Element x y z (fractional)
Ce (0.816, 0.693, 0.631)  0.60
Ce (0.184, 0.307, 0.369)  0.60
Ce (0.656, 0.794, 0.312)  0.22
Ce (0.344, 0.206, 0.688)  0.22
Tc (0.762, 0.180, 0.525)  -0.12
Tc (0.238, 0.820, 0.475)  -0.12
Cl (0.923, 0.093, 0.846)  0.00
Cl (0.077, 0.907, 0.154)  0.00
Cl (0.592, 0.366, 0.183)  -0.01
Cl (0.408, 0.634, 0.817)  -0.01

Properties
Calculated density (Mg/m³): 5.39
N(E_F) (states/eV/f.u.): 6.770
Electronic total energy (eV/atom): -6.337
Formation energy without anion corrections (eV per atom): -1.152

***

(9)
First-principles (PBE) data for crystalline Ce2TcCl at its relaxed geometry, as listed in Alexandria via LeMat-Bulk.

a = 3.227 Å, b = 3.227 Å, c = 9.786 Å
α = 80.51°, β = 80.51°, γ = 60.00°
Element x y z (fractional)
Tc (0.000, 0.000, 0.000)
Ce (0.085, 0.085, 0.745)
Ce (0.915, 0.915, 0.255)
Cl (0.500, 0.500, 0.500)

Properties
Calculated density (Mg/m³): 7.93
N(E_F) (states/eV/f.u.): 5.287
Electronic total energy (eV/atom): -6.384
Formation energy without anion corrections (eV per atom): -0.364

***

(10)
First-principles (PBE) data for crystalline Ce2TcCl at its relaxed geometry, as listed in Alexandria via LeMat-Bulk.

a = 3.925 Å, b = 3.925 Å, c = 7.976 Å
α = 75.76°, β = 75.76°, γ = 60.00°
Each line ends with the local moment (μB).
Element x y z (fractional)
Ce (0.067, 0.067, 0.798)  0.05
Ce (0.264, 0.264, 0.207)  0.47
Tc (0.670, 0.670, 0.989)  -0.09
Cl (0.498, 0.498, 0.506)  -0.01

Properties
Calculated density (Mg/m³): 6.73
N(E_F) (states/eV/f.u.): 5.369
Electronic total energy (eV/atom): -6.694
Formation energy without anion corrections (eV per atom): -0.674

***

(11)
First-principles (PBE) data for crystalline Ce4Tc2Cl3 at its relaxed geometry, as listed in Alexandria via LeMat-Bulk.

a = 3.989 Å, b = 3.989 Å, c = 17.493 Å
α = 90.06°, β = 89.94°, γ = 120.01°
Each line ends with the local moment (μB).
Element x y z (fractional)
Ce (0.334, 0.666, 0.874)  0.03
Ce (0.999, 0.001, 0.305)  0.29
Ce (0.001, 0.999, 0.695)  0.29
Ce (0.666, 0.334, 0.126)  0.03
Tc (0.667, 0.333, 0.791)  -0.06
Tc (0.333, 0.667, 0.209)  -0.06
Cl (0.666, 0.334, 0.406)  -0.01
Cl (0.000, 0.000, 0.000)  0.00
Cl (0.334, 0.666, 0.594)  -0.01

Properties
Calculated density (Mg/m³): 5.94
N(E_F) (states/eV/f.u.): 10.936
Electronic total energy (eV/atom): -6.472
Formation energy without anion corrections (eV per atom): -0.915

***

(12)
First-principles (PBE) data for crystalline Ce2TcCl at its relaxed geometry, as listed in Alexandria via LeMat-Bulk.

a = 3.333 Å, b = 3.333 Å, c = 8.022 Å
α = 90.00°, β = 90.00°, γ = 90.00°
Each line ends with the local moment (μB).
Element x y z (fractional)
Tc (0.500, 0.500, 0.000)  -0.14
Ce (0.000, 0.000, 0.779)  0.58
Ce (0.000, 0.000, 0.221)  0.58
Cl (0.500, 0.500, 0.500)  -0.01

Properties
Calculated density (Mg/m³): 7.71
N(E_F) (states/eV/f.u.): 7.254
Electronic total energy (eV/atom): -6.742
Formation energy without anion corrections (eV per atom): -0.722